Entry 1:
First-principles (GGA-PBE) data for a relaxed ZnCuTc3 crystal, as listed in Alexandria.

Cell lengths 4.4766, 4.4766, 4.4766 Å; angles 90.00, 90.00, 90.00 degrees
Last column: nearest neighbours and their distance in Å.
Atoms (fractional coordinates):
Zn1 0.0000 0.0000 0.0000  6 Tc 2.24
Cu1 0.5000 0.5000 0.5000  12 Tc 3.17
Tc1 0.0000 0.0000 0.5000  2 Zn 2.24
Tc2 0.0000 0.5000 0.0000  2 Zn 2.24
Tc3 0.5000 0.0000 0.0000  2 Zn 2.24

Values from the calculation:
The value obtained for the total magnetic moment is 0.000 μB/f.u. The total energy is -27.0 eV per cell.

---

Entry 2:
First-principles (GGA-PBE) data for a relaxed ZnCuTc2 crystal, as listed in Alexandria.

Cell lengths 9.0070, 9.0070, 9.0070 Å; angles 17.26, 17.26, 17.26 degrees
Last column: nearest neighbours and their distance in Å.
Atoms (fractional coordinates):
Zn1 0.0000 0.0000 0.0000  6 Zn 2.70, 6 Tc 2.74
Cu1 0.5000 0.5000 0.5000  6 Tc 2.68, 6 Cu 2.70
Tc1 0.2486 0.2486 0.2486  3 Cu 2.68, 6 Tc 2.70, 3 Zn 2.74
Tc2 0.7514 0.7514 0.7514  3 Cu 2.68, 6 Tc 2.70, 3 Zn 2.74

Values from the calculation:
The value obtained for the total magnetic moment is 0.598 μB/f.u. The total energy is -25.0 eV per cell.